1.
A crystal of AgTePb2 relaxed with PBEsol. Source: Alexandria, functional meta-GGA SCAN.

Values from the calculation:
Raw formation energy   0.142 eV per atom
Spin magnetization   0.0 Bohr magnetons per cell
D(E_F)   0.49 states/eV per atom

a b c (Å): 4.1595 4.8992 5.2126
angles (deg): 90.00 90.00 90.00
Last column: nearest neighbours and their distance in Å.
Space group Pmmm (No. 47)
Asymmetric unit:
Ag (0.0000, 0.0000, 0.0000) [1 per cell]  8 Pb 3.21-3.58, 4 Te 3.33
Te (0.5000, 0.0000, 0.5000) [1 per cell]  8 Pb 3.21-3.58, 4 Ag 3.33
Pb (0.0000, 0.5000, 0.5000) [1 per cell]  4 Te 3.21, 4 Pb 3.33, 4 Ag 3.58
Pb (0.5000, 0.5000, 0.0000) [1 per cell]  4 Ag 3.21, 4 Pb 3.33, 4 Te 3.58

2.
A crystal of AgTePb2 relaxed with PBEsol. Source: Alexandria, functional meta-GGA SCAN.

Values from the calculation:
Raw formation energy   0.072 eV per atom
Spin magnetization   0.0 Bohr magnetons per cell
D(E_F)   0.40 states/eV per atom

a b c (Å): 3.8802 3.8802 6.9962
angles (deg): 90.00 90.00 90.00
Last column: nearest neighbours and their distance in Å.
Space group P4mm (No. 99)
Asymmetric unit:
Ag (0.0000, 0.0000, 0.0000) [1 per cell]  5 Pb 3.13-3.33, 4 Te 3.16
Te (0.5000, 0.5000, 0.7764) [1 per cell]  5 Pb 3.06-3.26, 4 Ag 3.16
Pb (0.0000, 0.0000, 0.5234) [1 per cell]  4 Te 3.26, 1 Ag 3.33, 4 Pb 3.49
Pb (0.5000, 0.5000, 0.2140) [1 per cell]  1 Te 3.06, 4 Ag 3.13

3.
A crystal of AgTePb2 relaxed with PBEsol. Source: Alexandria, functional meta-GGA SCAN.

Values from the calculation:
Raw formation energy   0.087 eV per atom
Spin magnetization   0.0 Bohr magnetons per cell
D(E_F)   0.35 states/eV per atom

a b c (Å): 3.8697 3.8697 7.0134
angles (deg): 90.00 90.00 90.00
Last column: nearest neighbours and their distance in Å.
Space group P4/mmm (No. 123)
Asymmetric unit:
Ag (0.0000, 0.0000, 0.0000) [1 per cell]  8 Pb 3.19, 2 Te 3.51
Te (0.0000, 0.0000, 0.5000) [1 per cell]  8 Pb 3.32, 2 Ag 3.51
Pb (0.5000, 0.5000, 0.2331) [2 per cell]  4 Ag 3.19, 1 Pb 3.27, 4 Te 3.32